Crystalline PmHo6Th at its relaxed geometry. Source: the Alexandria database, functional PBE-GGA.

Output
As for the size of the total moment: 0.00 μB per cell. The density of states at the Fermi level comes out at 11.2 states/eV/cell. The formation enthalpy at 0 K comes out at 27 meV/atom. For the energy relative to the lowest polymorph listed for this composition, the calculation gives 0 meV/atom.

Cell: 5.017 5.017 10.016 Å, 90.00 90.00 90.00°
Atoms (fractional coordinates):
Pm  0.000  0.000  0.000
Ho  0.000  0.500  0.254
Ho  0.000  0.500  0.746
Ho  0.500  0.000  0.254
Ho  0.500  0.000  0.746
Ho  0.500  0.500  0.000
Ho  0.500  0.500  0.500
Th  0.000  0.000  0.500